No. 1
DFT (PBE) results for an optimized crystal structure of Na2YScS.

* SG: P4/mmm, No. 123
* formation energy from raw total energies: 1141.2 meV/atom
* magnetic moment: 0.00 μB/f.u.
* calculated volume: 35.94 A^3/atom

a b c (Å): 5.8265 5.2929 5.8265
angles (deg): 90.00 90.00 90.00
Sites, in units of the cell vectors:
Na: 0.5000 0.0000 0.0000
Na: 0.0000 0.0000 0.5000
Y: 0.0000 0.0000 0.0000
Sc: 0.0000 0.5000 0.0000
S: 0.5000 0.5000 0.5000

No. 2
DFT (PBE) results for an optimized crystal structure of NaY2ScS4.

* SG: P2/m, No. 10
* formation energy from raw total energies: -1865.1 meV/atom
* magnetic moment: 0.00 μB/f.u.
* calculated volume: 20.58 A^3/atom

a b c (Å): 3.8644 6.6655 6.7698
angles (deg): 70.76 90.00 90.00
Sites, in units of the cell vectors:
Sc: 0.5000 0.5000 0.0000
Y: 0.5000 0.0000 0.5000
Y: 0.0000 0.0000 0.0000
S: 0.5000 0.2525 0.7578
Na: 0.0000 0.5000 0.5000
S: 0.5000 0.7475 0.2422
S: 0.0000 0.7395 0.7596
S: 0.0000 0.2605 0.2404